Entry 1:
Entry from Alexandria via LeMat-Bulk: an optimized crystal structure of FeTcS2N (PBE).

Properties
distance to the lowest polymorph of the same formula: 0.00 kcal/mol of atoms
formation energy (no corrections): 56 kJ/mol of atoms
M_tot: 0.73 μB/atom
crystal system: tetragonal
mass density: 4559 kg/m³
V: 84.50 Å³/cell

Unit cell a=4.789 b=4.789 c=3.684 alpha=90.00 beta=90.00 gamma=90.00
Space group P4/mmm (No. 123)
Unique sites:
Fe  0.000  0.000  0.000
Tc  0.500  0.500  0.500
S  0.000  0.500  0.500
N  0.500  0.500  0.000

Entry 2:
Entry from Alexandria via LeMat-Bulk: an optimized crystal structure of In2BiAsI (PBE).

Properties
formation energy (no corrections): 62 kJ/mol of atoms
M_tot: 0.38 μB/atom
crystal system: tetragonal
mass density: 4763 kg/m³
V: 223.29 Å³/cell

Unit cell a=6.050 b=6.050 c=6.100 alpha=90.00 beta=90.00 gamma=90.00
Space group P4/mmm (No. 123)
Unique sites:
In  0.000  0.500  0.000
Bi  0.000  0.000  0.000
As  0.500  0.500  0.500
I  0.000  0.000  0.500

Entry 3:
Entry from Alexandria via LeMat-Bulk: an optimized crystal structure of Sm6SnTe12 (PBE).

Properties
formation energy (no corrections): -104 kJ/mol of atoms
M_tot: 0.00 μB/atom
crystal system: trigonal
mass density: 6199 kg/m³
V: 2050.85 Å³/cell

Unit cell a=13.6451 b=13.6451 c=12.7190 alpha=90.00 beta=90.00 gamma=120.00
Space group R-3 (No. 148, hexagonal axes)
Unique sites:
Sm  0.0437  0.7714  0.1332
Sn  0.0000  0.0000  0.5000
Te  0.0320  0.8205  0.8908
Te  0.0751  0.8566  0.3819

Entry 4:
Entry from Alexandria via LeMat-Bulk: an optimized crystal structure of Ba3CdRe2O9 (PBE).

Properties
formation energy (no corrections): -197 kJ/mol of atoms
M_tot: 0.00 μB/atom
crystal system: trigonal
mass density: 7999 kg/m³
V: 216.06 Å³/cell

Unit cell a=5.8772 b=5.8772 c=7.2227 alpha=90.00 beta=90.00 gamma=120.00
Space group P-3m1 (No. 164)
Unique sites:
Ba  0.0000  0.0000  0.0000
Ba  0.3333  0.6667  0.6526
Cd  0.0000  0.0000  0.5000
Re  0.3333  0.6667  0.1507
O  0.0000  0.5000  0.0000
O  0.1786  0.3573  0.3103

Entry 5:
Entry from Alexandria via LeMat-Bulk: an optimized crystal structure of NdPaC2 (PBE).

Properties
distance to the lowest polymorph of the same formula: 0.00 kcal/mol of atoms
M_tot: 0.00 μB/atom
formation energy: -260 meV per atom
crystal system: trigonal
mass density: 9379 kg/m³
V: 212.10 Å³/cell

Unit cell a=3.6831 b=3.6831 c=18.0545 alpha=90.00 beta=90.00 gamma=120.00
Space group R-3m (No. 166, hexagonal axes)
Unique sites:
Nd  0.0000  0.0000  0.0000
Pa  0.0000  0.0000  0.5000
C  0.0000  0.0000  0.2380

Entry 6:
Entry from Alexandria via LeMat-Bulk: an optimized crystal structure of MgH4Pt (PBE).

Properties
distance to the lowest polymorph of the same formula: 2.79 kcal/mol of atoms
M_tot: 0.00 μB/atom
crystal system: monoclinic
mass density: 6157 kg/m³
V: 120.50 Å³/cell

Unit cell a=3.784 b=6.577 c=5.197 alpha=90.00 beta=111.31 gamma=90.00
Space group P2_1/m (No. 11)
Unique sites:
Mg  0.135  0.250  0.241
H  0.045  0.574  0.108
H  0.342  0.750  0.711
H  0.347  0.250  0.672
Pt  0.161  0.750  0.355

Entry 7:
Entry from Alexandria via LeMat-Bulk: an optimized crystal structure of Zr3Ir5 (PBE).

Properties
M_tot: 0.00 μB/atom
formation energy: -419 meV per atom
crystal system: monoclinic
mass density: 14081 kg/m³
V: 291.23 Å³/cell

Unit cell a=7.661 b=5.121 c=7.669 alpha=90.00 beta=104.55 gamma=90.00
Space group P2_1/m (No. 11)
Unique sites:
Zr  0.045  0.250  0.421
Zr  0.371  0.750  0.371
Zr  0.420  0.250  0.043
Ir  0.010  0.250  0.777
Ir  0.134  0.250  0.134
Ir  0.223  0.750  0.991
Ir  0.307  0.000  0.694

Entry 8:
Entry from Alexandria via LeMat-Bulk: an optimized crystal structure of KMoCl4 (PBE).

Properties
distance to the lowest polymorph of the same formula: 0.00 kcal/mol of atoms
formation energy (no corrections): -115 kJ/mol of atoms
M_tot: 0.50 μB/atom
crystal system: monoclinic
mass density: 2332 kg/m³
V: 788.47 Å³/cell

Unit cell a=9.488 b=12.024 c=7.514 alpha=90.00 beta=113.11 gamma=90.00
Space group C2/c (No. 15)
Unique sites:
K  0.000  0.128  0.250
Mo  0.000  0.499  0.750
Cl  0.001  0.362  0.498
Cl  0.222  0.000  0.112

Entry 9:
Entry from Alexandria via LeMat-Bulk: an optimized crystal structure of CsSr2LiPt (PBE).

Properties
M_tot: 0.00 μB/atom
formation energy: -192 meV per atom
crystal system: tetragonal
mass density: 4074 kg/m³
V: 207.95 Å³/cell

Unit cell a=5.988 b=5.988 c=5.799 alpha=90.00 beta=90.00 gamma=90.00
Space group P4/mmm (No. 123)
Unique sites:
Cs  0.000  0.000  0.000
Sr  0.000  0.500  0.500
Li  0.500  0.500  0.000
Pt  0.500  0.500  0.500

Entry 10:
Entry from Alexandria via LeMat-Bulk: an optimized crystal structure of LaCo2Se2 (PBE).

Properties
formation energy (no corrections): -73 kJ/mol of atoms
M_tot: 0.39 μB/atom
crystal system: tetragonal
mass density: 7675 kg/m³
V: 179.45 Å³/cell

Unit cell a=3.933 b=3.933 c=11.602 alpha=90.00 beta=90.00 gamma=90.00
Space group I4/mmm (No. 139)
Unique sites:
La  0.000  0.000  0.000
Co  0.000  0.500  0.250
Se  0.000  0.000  0.362